Rb2In2Br7 PBE relaxed; ΔE_f (raw) = -1.106 eV per atom; E_tot = -2.844 eV/atom; total moment = 0.0 μB/f.u.
1.0
5.6815 -6.8989 0.0000
5.6815 6.8989 0.0000
-1.4314 0.0000 6.8566
Rb In Br
2 2 7
Direct
0.2063 0.7937 0.0000
0.7937 0.2063 0.0000
0.2747 0.2747 0.5844
0.7253 0.7253 0.4156
0.0952 0.4084 0.7859
0.1053 0.1053 0.2701
0.4084 0.0952 0.7859
0.5000 0.5000 0.5000
0.5916 0.9048 0.2141
0.8947 0.8947 0.7299
0.9048 0.5916 0.2141

=====

Rb2InBr4 PBE relaxed; ΔE_f (raw) = -1.308 eV per atom; E_tot = -2.932 eV/atom; total moment = 0.0 μB/f.u.
1.0
-2.8323 2.8323 8.8353
2.8323 -2.8323 8.8353
2.8323 2.8323 -8.8353
Rb In Br
2 1 4
Direct
0.1410 0.1410 0.0000
0.8590 0.8590 0.0000
0.5000 0.5000 0.0000
0.0000 0.5000 0.5000
0.3339 0.3339 0.0000
0.5000 0.0000 0.5000
0.6661 0.6661 0.0000

=====

RbIn2Br3 PBE relaxed; ΔE_f (raw) = -1.002 eV per atom; E_tot = -2.913 eV/atom; total moment = 0.0 μB/f.u.
1.0
4.4449 0.0000 0.0000
0.0000 11.4603 0.0000
0.0000 0.0000 8.7525
Rb In Br
2 4 6
Direct
0.0000 0.1167 0.0000
0.0000 0.8833 0.5000
0.0000 0.2727 0.5315
0.0000 0.7273 0.0315
0.5000 0.4988 0.0996
0.5000 0.5012 0.5996
0.0000 0.4097 0.8774
0.0000 0.5903 0.3774
0.5000 0.0965 0.6727
0.5000 0.2692 0.2425
0.5000 0.7308 0.7425
0.5000 0.9035 0.1727

=====

Rb6In3Br14 PBE relaxed; ΔE_f (raw) = -1.303 eV per atom; E_tot = -2.931 eV/atom; total moment = 0.6 μB/f.u.
1.0
12.6989 0.0000 0.0000
-6.3494 10.9976 0.0000
0.0000 0.0000 6.7883
Rb In Br
6 3 14
Direct
0.0097 0.5583 0.0000
0.3240 0.1066 0.5319
0.4417 0.4514 0.0000
0.5486 0.9903 0.0000
0.7826 0.6760 0.5319
0.8934 0.2174 0.5319
0.0000 0.0000 0.9419
0.3333 0.6667 0.4188
0.6667 0.3333 0.2723
0.0000 0.0000 0.3152
0.0772 0.8635 0.8035
0.1365 0.2137 0.8035
0.1976 0.4518 0.2864
0.2542 0.8024 0.2864
0.3333 0.6667 0.7940
0.4355 0.1812 0.0453
0.5133 0.4111 0.4992
0.5482 0.7458 0.2864
0.5889 0.1022 0.4992
0.7457 0.5645 0.0453
0.7863 0.9228 0.8035
0.8188 0.2543 0.0453
0.8978 0.4867 0.4992

=====

Rb2In2Br7 PBE relaxed; ΔE_f (raw) = -1.107 eV per atom; E_tot = -2.846 eV/atom; total moment = 0.0 μB/f.u.
1.0
6.8219 0.0000 0.0000
0.0000 17.0892 0.0000
-1.4697 0.0000 8.7349
Rb In Br
4 4 14
Direct
0.1550 0.1491 0.4299
0.1550 0.3509 0.9299
0.8450 0.6491 0.0701
0.8450 0.8509 0.5701
0.3137 0.6122 0.6434
0.3137 0.8878 0.1434
0.6863 0.1122 0.8566
0.6863 0.3878 0.3566
0.0084 0.1630 0.0297
0.0084 0.3370 0.5297
0.2110 0.5532 0.8940
0.2110 0.9468 0.3940
0.4682 0.2315 0.7455
0.4682 0.2685 0.2455
0.5000 0.0000 0.0000
0.5000 0.5000 0.5000
0.5318 0.7315 0.7545
0.5318 0.7685 0.2545
0.7890 0.0532 0.6060
0.7890 0.4468 0.1060
0.9916 0.6630 0.4703
0.9916 0.8370 0.9703

=====

Rb2InReBr6 PBE relaxed; ΔE_f (raw) = -0.821 eV per atom; E_tot = -3.537 eV/atom; total moment = 2.0 μB/f.u.
1.0
0.0000 5.6496 5.6496
5.6496 0.0000 5.6496
5.6496 5.6496 0.0000
Rb In Re Br
2 1 1 6
Direct
0.2500 0.2500 0.2500
0.7500 0.7500 0.7500
0.0000 0.0000 0.0000
0.5000 0.5000 0.5000
0.2733 0.2733 0.7267
0.2733 0.7267 0.2733
0.2733 0.7267 0.7267
0.7267 0.2733 0.2733
0.7267 0.2733 0.7267
0.7267 0.7267 0.2733

=====

Rb2InRuBr6 PBE relaxed; ΔE_f (raw) = -0.917 eV per atom; E_tot = -3.315 eV/atom; total moment = 1.0 μB/f.u.
1.0
-3.9420 3.9420 5.5712
3.9420 -3.9420 5.5712
3.9420 3.9420 -5.5712
Rb In Ru Br
2 1 1 6
Direct
0.2500 0.7500 0.5000
0.7500 0.2500 0.5000
0.0000 0.0000 0.0000
0.5000 0.5000 0.0000
0.2716 0.2716 0.0000
0.2718 0.2718 0.5437
0.2718 0.7282 0.0000
0.7282 0.2718 0.0000
0.7284 0.7284 0.0000
0.7282 0.7282 0.4563

=====

RbScIn2Br6 PBE relaxed; ΔE_f (raw) = -1.299 eV per atom; E_tot = -3.580 eV/atom; total moment = 0.0 μB/f.u.
1.0
8.0651 0.0000 0.0000
4.0302 7.0018 0.0000
4.0307 2.3282 6.9161
Rb Sc In Br
1 1 2 6
Direct
0.0000 0.0000 0.0000
0.4905 0.4909 0.5277
0.2906 0.2919 0.1265
0.7998 0.8002 0.6002
0.1476 0.4049 0.7702
0.2697 0.8193 0.3187
0.4043 0.6759 0.7713
0.5927 0.2702 0.3180
0.6756 0.1489 0.7709
0.8194 0.5927 0.3191

=====

Rb2ScInBr6 PBE relaxed; ΔE_f (raw) = -1.535 eV per atom; E_tot = -3.640 eV/atom; total moment = 0.0 μB/f.u.
1.0
7.9638 0.0000 0.0000
3.6583 7.0941 0.0000
3.6697 2.2287 6.7507
Rb Sc In Br
2 1 1 6
Direct
0.2378 0.2354 0.2362
0.7622 0.7646 0.7638
0.0000 0.0000 0.0000
0.5000 0.5000 0.5000
0.1420 0.3080 0.7941
0.2125 0.8579 0.6924
0.3064 0.7916 0.1446
0.6936 0.2084 0.8554
0.7875 0.1421 0.3076
0.8580 0.6920 0.2059

=====

RbIn2SeBr PBE relaxed; ΔE_f (raw) = 0.360 eV per atom; E_tot = -1.961 eV/atom; total moment = 0.2 μB/f.u.
1.0
7.1414 0.0000 0.0000
0.0000 7.1414 0.0000
0.0000 0.0000 5.9331
Rb In Se Br
1 2 1 1
Direct
0.0000 0.0000 0.0000
0.0000 0.5000 0.0000
0.5000 0.0000 0.0000
0.5000 0.5000 0.5000
0.0000 0.0000 0.5000

=====

Rb2InSeBr6 PBE relaxed; ΔE_f (raw) = -0.915 eV per atom; E_tot = -2.735 eV/atom; total moment = 0.0 μB/f.u.
1.0
-3.8879 3.8879 6.1343
3.8879 -3.8879 6.1343
3.8879 3.8879 -6.1343
Rb In Se Br
2 1 1 6
Direct
0.2500 0.7500 0.5000
0.7500 0.2500 0.5000
0.0000 0.0000 0.0000
0.5000 0.5000 0.0000
0.2234 0.2234 0.0000
0.2573 0.2573 0.5147
0.2573 0.7427 0.0000
0.7427 0.2573 0.0000
0.7427 0.7427 0.4853
0.7766 0.7766 0.0000

=====

RbSmIn2Br6 PBE relaxed; ΔE_f (raw) = -1.378 eV per atom; E_tot = -3.498 eV/atom; total moment = 0.0 μB/f.u.
1.0
8.2373 0.0000 0.0000
4.1167 7.1442 0.0000
4.1172 2.3766 7.1267
Rb Sm In Br
1 1 2 6
Direct
0.0000 0.0000 0.0000
0.4887 0.4891 0.5330
0.2900 0.2902 0.1294
0.7980 0.7983 0.6054
0.1262 0.4097 0.7939
0.2474 0.8354 0.3230
0.4093 0.6693 0.7947
0.5941 0.2475 0.3228
0.6692 0.1273 0.7942
0.8355 0.5945 0.3230

=====

| no. | D(E_F) (states/eV/f.u.) |
| --- | --- |
| 1 | 5.24 |
| 2 | 2.20 |
| 3 | 0.00 |
| 4 | 5.49 |
| 5 | 5.59 |
| 6 | 11.94 |
| 7 | 10.84 |
| 8 | 0.00 |
| 9 | 0.00 |
| 10 | 10.98 |
| 11 | 4.46 |
| 12 | 0.00 |